# Ac2EuGe, optimized geometry, DFT PBE
data_Ac2EuGe
_chemical_formula_sum 'Ac2 Eu1 Ge1'
_cell_length_a 5.2752
_cell_length_b 5.2752
_cell_length_c 4.8136
_cell_angle_alpha 90.00
_cell_angle_beta 90.00
_cell_angle_gamma 90.00
_symmetry_space_group_name_H-M 'P 4/m m m'
_symmetry_Int_Tables_number 123
_symmetry_space_group_name_Hall '-P 4 2'
loop_
_atom_site_label
_atom_site_type_symbol
_atom_site_fract_x
_atom_site_fract_y
_atom_site_fract_z
Ac1 Ac 0.0000 0.5000 0.0000
Eu1 Eu 0.0000 0.0000 0.5000
Ge1 Ge 0.5000 0.5000 0.5000
# - Energy above the lowest structure with this stoichiometry: 5.2 kJ per mole of atoms
# - ΔE_f: -20.3 kJ/mol of atoms
# - Total moment: 7.9 μB/cell
# - Calculated total energy: -5.99 eV per atom